This record from Alexandria via LeMat-Bulk describes a relaxed structure of Ba3Cu5I12. The functional is PBE.

Properties
Its density of states at the Fermi level is 16.3 states/eV/f.u. As for the crystal system: cubic. The value obtained for the formation energy from raw total energies is -0.832 eV per atom. For the mass density, the calculation gives 5.11 g cm⁻³.

abc: 15.6130 15.6130 15.6130
angles: 109.47 109.47 109.47
Last column: nearest neighbours and their distance in Å.
Positions (direct):
Ba 0.7500 0.3750 0.1250  8 I 3.54-3.64
Ba 0.8750 0.7500 0.1250  8 I 3.54-3.64
Ba 0.3750 0.7500 0.6250  8 I 3.54-3.64
Ba 0.2500 0.1250 0.3750  8 I 3.54-3.64
Ba 0.8750 0.1250 0.2500  8 I 3.54-3.64
Ba 0.3750 0.6250 0.2500  8 I 3.54-3.64
Ba 0.6250 0.3750 0.7500  8 I 3.54-3.64
Ba 0.1250 0.8750 0.7500  8 I 3.54-3.64
Ba 0.7500 0.8750 0.6250  8 I 3.54-3.64
Ba 0.6250 0.2500 0.3750  8 I 3.54-3.64
Ba 0.1250 0.2500 0.8750  8 I 3.54-3.64
Ba 0.2500 0.6250 0.8750  8 I 3.54-3.64
Cu 0.1250 0.3750 0.2500  4 I 2.64
Cu 0.0000 0.5000 0.0000  6 I 2.88
Cu 0.0000 0.0000 0.0000  6 I 2.88
Cu 0.3750 0.2500 0.1250  4 I 2.64
Cu 0.5000 0.0000 0.5000  6 I 2.88
Cu 0.5000 0.5000 0.0000  6 I 2.88
Cu 0.1250 0.7500 0.3750  4 I 2.64
Cu 0.7500 0.1250 0.8750  4 I 2.64
Cu 0.7500 0.6250 0.3750  4 I 2.64
Cu 0.3750 0.1250 0.7500  4 I 2.64
Cu 0.6250 0.8750 0.2500  4 I 2.64
Cu 0.5000 0.5000 0.5000  6 I 2.88
Cu 0.5000 0.0000 0.0000  6 I 2.88
Cu 0.0000 0.0000 0.5000  6 I 2.88
Cu 0.2500 0.3750 0.6250  4 I 2.64
Cu 0.2500 0.8750 0.1250  4 I 2.64
Cu 0.0000 0.5000 0.5000  6 I 2.88
Cu 0.8750 0.2500 0.6250  4 I 2.64
Cu 0.6250 0.7500 0.8750  4 I 2.64
Cu 0.8750 0.6250 0.7500  4 I 2.64
I 0.6994 0.1130 0.0177  2 Cu 2.64-2.88
I 0.3183 0.5177 0.4047  2 Cu 2.64-2.88
I 0.9823 0.3870 0.3006  2 Cu 2.64-2.88
I 0.5177 0.1994 0.1130  2 Cu 2.64-2.88
I 0.5864 0.6994 0.6817  2 Cu 2.64-2.88
I 0.9823 0.5953 0.1817  2 Cu 2.64-2.88
I 0.3183 0.8006 0.4136  2 Cu 2.64-2.88
I 0.0953 0.9136 0.1130  2 Cu 2.64-2.88
I 0.5953 0.9823 0.6817  2 Cu 2.64-2.88
I 0.6994 0.5864 0.1817  2 Cu 2.64-2.88
I 0.8006 0.4823 0.3870  2 Cu 2.64-2.88
I 0.8183 0.9047 0.0177  2 Cu 2.64-2.88
I 0.1130 0.6994 0.5177  2 Cu 2.64-2.88
I 0.3870 0.4047 0.0864  2 Cu 2.64-2.88
I 0.0864 0.9047 0.3870  2 Cu 2.64-2.88
I 0.4136 0.1130 0.5953  2 Cu 2.64-2.88
I 0.0864 0.1817 0.1994  2 Cu 2.64-2.88
I 0.4823 0.6817 0.0953  2 Cu 2.64-2.88
I 0.8183 0.9136 0.3006  2 Cu 2.64-2.88
I 0.1130 0.4136 0.0953  2 Cu 2.64-2.88
I 0.3870 0.9823 0.8006  2 Cu 2.64-2.88
I 0.5953 0.6130 0.4136  2 Cu 2.64-2.88
I 0.9047 0.8183 0.5177  2 Cu 2.64-2.88
I 0.8006 0.3183 0.9136  2 Cu 2.64-2.88
I 0.4047 0.3870 0.5864  2 Cu 2.64-2.88
I 0.0953 0.1817 0.4823  2 Cu 2.64-2.88
I 0.1994 0.6817 0.0864  2 Cu 2.64-2.88
I 0.1817 0.0864 0.6994  2 Cu 2.64-2.88
I 0.6130 0.0177 0.1994  2 Cu 2.64-2.88
I 0.8870 0.5864 0.9047  2 Cu 2.64-2.88
I 0.5177 0.3183 0.9047  2 Cu 2.64-2.88
I 0.5864 0.8870 0.4047  2 Cu 2.64-2.88
I 0.9136 0.8183 0.8006  2 Cu 2.64-2.88
I 0.9136 0.0953 0.6130  2 Cu 2.64-2.88
I 0.8870 0.3006 0.4823  2 Cu 2.64-2.88
I 0.1817 0.0953 0.9823  2 Cu 2.64-2.88
I 0.6130 0.5953 0.9136  2 Cu 2.64-2.88
I 0.4047 0.0177 0.3183  2 Cu 2.64-2.88
I 0.3006 0.4136 0.8183  2 Cu 2.64-2.88
I 0.1994 0.5177 0.6130  2 Cu 2.64-2.88
I 0.9047 0.0864 0.8870  2 Cu 2.64-2.88
I 0.6817 0.1994 0.5864  2 Cu 2.64-2.88
I 0.4823 0.8006 0.8870  2 Cu 2.64-2.88
I 0.0177 0.4047 0.8183  2 Cu 2.64-2.88
I 0.4136 0.3006 0.3183  2 Cu 2.64-2.88
I 0.0177 0.6130 0.6994  2 Cu 2.64-2.88
I 0.6817 0.4823 0.5953  2 Cu 2.64-2.88
I 0.3006 0.8870 0.9823  2 Cu 2.64-2.88